The following is a GGA-PBE calculation of a relaxed SrCdPb2S4 crystal, from Alexandria via LeMat-Bulk.

```
16
Lattice="-1.8278 -2.9321 -7.6067 8.1533 -0.9165 -1.5756 -3.3569 -3.5613 6.7457" Properties=species:S:1:pos:R:3 pbc="T T T"
Cd 1.4843 -3.7050 -1.2183
Sr 2.2489 -3.3903 -8.3945
Cd -5.1847 -6.4934 -0.8609
S 1.4469 -6.3831 -0.2599
Pb -2.5923 -3.2467 -0.4305
S -0.0387 -2.6784 0.9577
Pb -3.5062 -4.7127 -4.2338
S 0.6092 -2.4511 -6.1400
S 2.3594 -4.9589 3.7034
Sr 2.3982 -2.2389 2.5850
Pb -0.9139 -1.4660 -3.8033
S 3.0073 -4.7316 -3.3943
S -0.9444 -4.2065 -2.6917
S 1.5218 -1.0268 -2.1767
S 3.9130 -3.2034 0.2551
Pb -0.1941 -5.4856 2.1546
```

- total moment (Bohr magnetons per cell) = 0.00
- symmetry = No. 74
- energy relative to the elements, uncorrected (eV/atom) = -0.898